[1]
# Zr2PaTi

A relaxed structure of Zr2PaTi (PBE, the Alexandria database).

a b c (Å): 3.0542 3.0542 9.4700
angles (deg): 90.00 90.00 90.00
Positions (direct):
Zr 0.0000 0.0000 0.2291
Zr 0.0000 0.0000 0.7709
Pa 0.5000 0.5000 0.5000
Ti 0.5000 0.5000 0.0000

## Properties
DOS(E_F), states/eV/atom: 1.59
DFT formation energy, meV per atom: 87
Density, Mg/m³: 8.672
V, Å³ per atom: 22.08
Symmetry: P4/mmm

=====

[2]
# Cs7Au3O

A relaxed structure of Cs7Au3O (PBE, the Alexandria database).

a b c (Å): 10.0227 10.0227 11.9005
angles (deg): 90.00 90.00 69.39
Positions (direct):
Cs 0.0569 0.6999 0.0332
Cs 0.0569 0.6999 0.4668
Cs 0.0671 0.9329 0.7500
Cs 0.3001 0.9431 0.0332
Cs 0.3001 0.9431 0.4668
Cs 0.3531 0.3838 0.7500
Cs 0.3838 0.3531 0.2500
Cs 0.6162 0.6469 0.7500
Cs 0.6469 0.6162 0.2500
Cs 0.6999 0.0569 0.5332
Cs 0.6999 0.0569 0.9668
Cs 0.9329 0.0671 0.2500
Cs 0.9431 0.3001 0.5332
Cs 0.9431 0.3001 0.9668
Au 0.0138 0.4190 0.2500
Au 0.4190 0.0138 0.7500
Au 0.5000 0.5000 0.0000
Au 0.5000 0.5000 0.5000
Au 0.5810 0.9862 0.2500
Au 0.9862 0.5810 0.7500
O 0.0000 0.0000 0.0000
O 0.0000 0.0000 0.5000

## Properties
DOS(E_F), states/eV/atom: 0.60
Density, Mg/m³: 4.562
Uncorrected formation energy, eV per atom: -0.451
V, Å³ per atom: 50.86
Symmetry: Cmcm

=====

[3]
# PmSmPdRu

A relaxed structure of PmSmPdRu (PBE, the Alexandria database).

a b c (Å): 3.4903 3.4903 7.2558
angles (deg): 90.00 90.00 90.00
Positions (direct):
Pm 0.0000 0.0000 0.0000
Sm 0.0000 0.0000 0.4789
Pd 0.5000 0.5000 0.7357
Ru 0.5000 0.5000 0.2410

## Properties
DOS(E_F), states/eV/atom: 0.40
DFT formation energy, meV per atom: -527
Density, Mg/m³: 9.447
V, Å³ per atom: 22.10
Symmetry: P4mm

=====

[4]
# ScMoW2

A relaxed structure of ScMoW2 (PBE, the Alexandria database).

a b c (Å): 5.4327 5.4327 2.7145
angles (deg): 90.00 90.00 121.13
Positions (direct):
Sc 0.0000 0.0000 0.0000
Mo 0.5000 0.5000 0.0000
W 0.0000 0.5000 0.5000
W 0.5000 0.0000 0.5000

## Properties
DOS(E_F), states/eV/atom: 0.57
DFT formation energy, meV per atom: 327
Density, Mg/m³: 12.315
V, Å³ per atom: 17.14
Symmetry: Cmmm

=====

[5]
# K2TbBiTe4

A relaxed structure of K2TbBiTe4 (PBE, the Alexandria database).

a b c (Å): 7.9445 4.5350 8.6585
angles (deg): 90.00 107.35 90.00
Positions (direct):
K 0.0000 0.0000 0.0000
K 0.5000 0.5000 0.0000
Tb 0.0000 0.5000 0.5000
Bi 0.5000 0.0000 0.5000
Te 0.2323 0.0000 0.7089
Te 0.2587 0.5000 0.2892
Te 0.7413 0.5000 0.7108
Te 0.7677 0.0000 0.2911

## Properties
DOS(E_F), states/eV/atom: 0.00
Density, Mg/m³: 5.334
Uncorrected formation energy, eV per atom: -1.010
V, Å³ per atom: 37.22
Symmetry: P2/m

=====

[6]
# KAsW2

A relaxed structure of KAsW2 (PBE, the Alexandria database).

a b c (Å): 2.9398 2.9398 9.8606
angles (deg): 90.00 90.00 110.27
Positions (direct):
K 0.0000 0.0000 0.0000
As 0.5000 0.5000 0.7214
W 0.0000 0.0000 0.5134
W 0.5000 0.5000 0.3117

## Properties
DOS(E_F), states/eV/atom: 0.72
DFT formation energy, meV per atom: 582
Density, Mg/m³: 10.006
V, Å³ per atom: 19.98
Symmetry: Cmm2

=====

[7]
# LiLa2Zn

A relaxed structure of LiLa2Zn (PBE, the Alexandria database).

a b c (Å): 3.5223 4.9032 6.5309
angles (deg): 90.00 105.52 90.00
Positions (direct):
Li 0.0000 0.0000 0.0000
La 0.3985 0.5000 0.7969
La 0.7178 0.0000 0.4366
Zn 0.1178 0.5000 0.2357

## Properties
DOS(E_F), states/eV/atom: 0.91
DFT formation energy, meV per atom: -79
Density, Mg/m³: 5.350
V, Å³ per atom: 27.17
Symmetry: Pm

=====

[8]
# B5C3

A relaxed structure of B5C3 (PBE, the Alexandria database).

a b c (Å): 9.8352 9.8352 9.8352
angles (deg): 15.87 15.87 15.87
Positions (direct):
B 0.0000 0.0000 0.0000
B 0.0601 0.0601 0.0601
B 0.5718 0.5718 0.5718
B 0.7447 0.7447 0.7447
B 0.8430 0.8430 0.8430
C 0.2623 0.2623 0.2623
C 0.3110 0.3110 0.3110
C 0.5150 0.5150 0.5150

## Properties
DOS(E_F), states/eV/atom: 0.51
DFT formation energy, meV per atom: 523
Density, Mg/m³: 2.413
V, Å³ per atom: 7.75
Symmetry: R3m

=====

[9]
# YTl2Si2Au7

A relaxed structure of YTl2Si2Au7 (PBE, the Alexandria database).

a b c (Å): 4.6095 4.6095 12.9431
angles (deg): 93.12 93.12 93.97
Positions (direct):
Y 0.0000 0.0000 0.0000
Tl 0.1031 0.1031 0.3769
Tl 0.8969 0.8969 0.6231
Si 0.3808 0.3808 0.7759
Si 0.6192 0.6192 0.2241
Au 0.0862 0.5222 0.1572
Au 0.4094 0.4094 0.5917
Au 0.4778 0.9138 0.8428
Au 0.5000 0.5000 0.0000
Au 0.5222 0.0862 0.1572
Au 0.5906 0.5906 0.4083
Au 0.9138 0.4778 0.8428

## Properties
DOS(E_F), states/eV/atom: 0.20
Density, Mg/m³: 11.735
Uncorrected formation energy, eV per atom: -0.227
V, Å³ per atom: 22.79
Symmetry: C2/m

=====

[10]
# BaGePOs2

A relaxed structure of BaGePOs2 (PBE, the Alexandria database).

a b c (Å): 5.0942 5.0942 5.5725
angles (deg): 90.00 90.00 90.00
Positions (direct):
Ba 0.0000 0.0000 0.0000
Ge 0.0000 0.0000 0.5000
P 0.5000 0.5000 0.5000
Os 0.0000 0.5000 0.0000
Os 0.5000 0.0000 0.0000

## Properties
DOS(E_F), states/eV/atom: 1.26
DFT formation energy, meV per atom: 3278
Density, Mg/m³: 7.136
V, Å³ per atom: 28.92
Symmetry: P4/mmm

=====

[11]
# AcLaTbDy

A relaxed structure of AcLaTbDy (PBE, the Alexandria database).

a b c (Å): 5.9059 5.9059 5.9059
angles (deg): 60.00 60.00 60.00
Positions (direct):
Ac 0.0000 0.0000 0.0000
La 0.5000 0.5000 0.5000
Tb 0.2500 0.2500 0.2500
Dy 0.7500 0.7500 0.7500

## Properties
DOS(E_F), states/eV/atom: 1.73
DFT formation energy, meV per atom: 100
Density, Mg/m³: 7.835
V, Å³ per atom: 36.42
Symmetry: F-43m

=====

[12]
# SrPbF3

A relaxed structure of SrPbF3 (PBE, the Alexandria database).

a b c (Å): 4.7459 4.7459 4.7459
angles (deg): 90.00 90.00 90.00
Positions (direct):
Sr 0.0000 0.0000 0.0000
Pb 0.5000 0.5000 0.5000
F 0.0000 0.0000 0.5000
F 0.0000 0.5000 0.0000
F 0.5000 0.0000 0.0000

## Properties
DOS(E_F), states/eV/atom: 0.44
Density, Mg/m³: 5.465
Uncorrected formation energy, eV per atom: -2.600
V, Å³ per atom: 21.38
Symmetry: Pm-3m

=====

[13]
# PmY8Er5

A relaxed structure of PmY8Er5 (PBE, the Alexandria database).

a b c (Å): 8.4382 8.4382 8.4382
angles (deg): 111.42 111.42 105.63
Positions (direct):
Pm 0.0000 0.0000 0.0000
Y 0.0825 0.3235 0.4124
Y 0.1718 0.4214 0.8935
Y 0.3298 0.9175 0.2410
Y 0.5279 0.2783 0.1065
Y 0.5786 0.4721 0.7504
Y 0.6765 0.0889 0.7590
Y 0.7217 0.8282 0.2496
Y 0.9111 0.6702 0.5876
Er 0.2116 0.0329 0.5989
Er 0.3873 0.7884 0.8213
Er 0.4340 0.6127 0.4011
Er 0.7500 0.2500 0.5000
Er 0.9671 0.5660 0.1787

## Properties
DOS(E_F), states/eV/atom: 1.61
DFT formation energy, meV per atom: 248
Density, Mg/m³: 6.097
V, Å³ per atom: 32.93
Symmetry: I-4

=====

[14]
# SmScRuPt

A relaxed structure of SmScRuPt (PBE, the Alexandria database).

a b c (Å): 4.7955 4.7955 4.7955
angles (deg): 60.00 60.00 60.00
Positions (direct):
Sm 0.0000 0.0000 0.0000
Sc 0.5000 0.5000 0.5000
Ru 0.2500 0.2500 0.2500
Pt 0.7500 0.7500 0.7500

## Properties
DOS(E_F), states/eV/atom: 0.56
DFT formation energy, meV per atom: -722
Density, Mg/m³: 10.465
V, Å³ per atom: 19.50
Symmetry: F-43m

=====

[15]
# Dy4GaSbTe2

A relaxed structure of Dy4GaSbTe2 (PBE, the Alexandria database).

a b c (Å): 7.5496 4.2465 7.5790
angles (deg): 90.00 108.61 90.00
Positions (direct):
Dy 0.2353 0.0000 0.2309
Dy 0.2433 0.5000 0.7685
Dy 0.7567 0.5000 0.2315
Dy 0.7647 0.0000 0.7691
Ga 0.0000 0.5000 0.0000
Sb 0.5000 0.0000 0.0000
Te 0.0000 0.0000 0.5000
Te 0.5000 0.5000 0.5000

## Properties
DOS(E_F), states/eV/atom: 0.25
Density, Mg/m³: 7.909
Uncorrected formation energy, eV per atom: -1.105
V, Å³ per atom: 28.78
Symmetry: P2/m

=====

[16]
# RbCa2Cr

A relaxed structure of RbCa2Cr (PBE, the Alexandria database).

a b c (Å): 5.9779 5.9779 5.9779
angles (deg): 60.00 60.00 60.00
Positions (direct):
Rb 0.0000 0.0000 0.0000
Ca 0.2500 0.2500 0.2500
Ca 0.7500 0.7500 0.7500
Cr 0.5000 0.5000 0.5000

## Properties
DOS(E_F), states/eV/atom: 1.95
DFT formation energy, meV per atom: 646
Density, Mg/m³: 2.392
V, Å³ per atom: 37.76
Symmetry: Fm-3m

=====

[17]
# KLaBeH2

A relaxed structure of KLaBeH2 (PBE, the Alexandria database).

a b c (Å): 4.3370 4.3370 5.2832
angles (deg): 90.00 90.00 90.00
Positions (direct):
K 0.0000 0.0000 0.0000
La 0.5000 0.5000 0.0000
Be 0.0000 0.0000 0.5000
H 0.0000 0.5000 0.5000
H 0.5000 0.0000 0.5000

## Properties
DOS(E_F), states/eV/atom: 0.95
Density, Mg/m³: 3.159
V, Å³ per atom: 19.87
Uncorrected energy, eV/atom: -2.031
Symmetry: P4/mmm

=====

[18]
# RbMg2P

A relaxed structure of RbMg2P (PBE, the Alexandria database).

a b c (Å): 7.0908 7.0908 7.0908
angles (deg): 103.45 103.45 122.34
Positions (direct):
Rb 0.0000 0.0000 0.0000
Rb 0.7500 0.2500 0.5000
Mg 0.2509 0.6250 0.1259
Mg 0.3750 0.5009 0.6259
Mg 0.4991 0.1250 0.8741
Mg 0.8750 0.7491 0.3741
P 0.2500 0.7500 0.5000
P 0.5000 0.5000 0.0000

## Properties
DOS(E_F), states/eV/atom: 0.28
DFT formation energy, meV per atom: -28
Density, Mg/m³: 2.077
V, Å³ per atom: 32.99
Symmetry: I-42d

=====

[19]
# NaMg2Ag2

A relaxed structure of NaMg2Ag2 (PBE, the Alexandria database).

a b c (Å): 8.1096 8.1096 3.2139
angles (deg): 90.00 90.00 90.00
Positions (direct):
Na 0.0000 0.0000 0.0000
Na 0.5000 0.5000 0.0000
Mg 0.1511 0.3489 0.5000
Mg 0.3489 0.8489 0.5000
Mg 0.6511 0.1511 0.5000
Mg 0.8489 0.6511 0.5000
Ag 0.1426 0.6426 0.0000
Ag 0.3574 0.1426 0.0000
Ag 0.6426 0.8574 0.0000
Ag 0.8574 0.3574 0.0000

## Properties
DOS(E_F), states/eV/atom: 0.35
DFT formation energy, meV per atom: -135
Density, Mg/m³: 4.515
V, Å³ per atom: 21.14
Symmetry: P4/mbm

=====

[20]
# TbEr4Sb2

A relaxed structure of TbEr4Sb2 (PBE, the Alexandria database).

a b c (Å): 8.9604 8.9604 8.9604
angles (deg): 146.06 146.06 48.75
Positions (direct):
Tb 0.0000 0.0000 0.0000
Er 0.0000 0.5000 0.5000
Er 0.1837 0.1837 0.0000
Er 0.5000 0.0000 0.5000
Er 0.8163 0.8163 0.0000
Sb 0.3669 0.3669 0.0000
Sb 0.6331 0.6331 0.0000

## Properties
DOS(E_F), states/eV/atom: 0.76
Density, Mg/m³: 7.970
Uncorrected formation energy, eV per atom: 0.297
V, Å³ per atom: 31.89
Symmetry: I4/mmm